An optimized crystal structure of SrCaZr2B, computed with GGA-PBE.

Fermi-level density of states   5.42 states/eV/cell
Theoretical density   4.10 g/cm3
E_tot   -5.213 eV/atom

Unit cell a=4.835 b=4.835 c=5.566 alpha=90.00 beta=90.00 gamma=90.00
Space group P4/mmm (No. 123)
Asymmetric unit:
Sr  0.000  0.000  0.000
Ca  0.500  0.500  0.000
Zr  0.000  0.500  0.500
B  0.500  0.500  0.500